Record 1
The following is a DFT calculation (PBE-GGA) of a relaxed PmSm2PuO8 crystal.

The structure belongs to space group P-1 (No. 2); the cell edges are 4.017, 5.509 and 7.550 Å and the angles 89.95°, 89.98° and 83.95°. The inequivalent atoms are Pm at (0.000, 0.000, 0.000), Sm at (0.500, 0.500, 0.243), Pu at (0.000, 0.000, 0.500), O at (0.044, 0.234, 0.282), O at (0.044, 0.235, 0.719), O at (0.428, 0.783, 0.500) and O at (0.496, 0.254, 0.000).

Its formation energy from raw total energies is -3.0121 eV/atom. The value obtained for the total energy is -8.69 eV/atom.

---

Record 2
The following is a DFT calculation (PBE-GGA) of a relaxed PmSmPuO6 crystal.

The structure belongs to space group P-31c (No. 163); the cell edges are 5.8591, 5.8591 and 9.5724 Å and the angles 90.00°, 90.00° and 120.00°. The inequivalent atoms are Pm at (0.0000, 0.0000, 0.0000), Sm at (0.3333, 0.6667, 0.2500), Pu at (0.3333, 0.6667, 0.7500) and O at (0.0337, 0.3644, 0.6345).

Its formation energy from raw total energies is -2.9964 eV/atom. The value obtained for the total energy is -8.95 eV/atom.

---

Record 3
The following is a DFT calculation (PBE-GGA) of a relaxed PmPuSnO6 crystal.

The structure belongs to space group P-31c (No. 163); the cell edges are 5.5560, 5.5560 and 10.1053 Å and the angles 90.00°, 90.00° and 120.00°. The inequivalent atoms are Pm at (0.0000, 0.0000, 0.0000), Pu at (0.3333, 0.6667, 0.2500), Sn at (0.3333, 0.6667, 0.7500) and O at (0.0061, 0.3552, 0.6374).

Its formation energy from raw total energies is -2.5191 eV/atom. The value obtained for the total energy is -8.39 eV/atom.

---

Record 4
The following is a DFT calculation (PBE-GGA) of a relaxed SrPmPu2O8 crystal.

The structure belongs to space group I-4m2 (No. 119); the cell edges are 5.490, 5.490 and 10.658 Å and the angles 90.00°, 90.00° and 90.00°. The inequivalent atoms are Sr at (0.000, 0.000, 0.000), Pm at (0.000, 0.500, 0.750), Pu at (0.000, 0.000, 0.500), Pu at (0.000, 0.500, 0.250) and O at (0.221, 0.244, 0.373).

Its formation energy from raw total energies is -2.8383 eV/atom. The value obtained for the total energy is -9.07 eV/atom.

---

Record 5
The following is a DFT calculation (PBE-GGA) of a relaxed SrPmPuO6 crystal.

The structure belongs to space group P-31c (No. 163); the cell edges are 5.9355, 5.9355 and 10.0175 Å and the angles 90.00°, 90.00° and 120.00°. The inequivalent atoms are Sr at (0.0000, 0.0000, 0.0000), Pm at (0.3333, 0.6667, 0.2500), Pu at (0.3333, 0.6667, 0.7500) and O at (0.0416, 0.3858, 0.6412).

Its formation energy from raw total energies is -2.8268 eV/atom. The value obtained for the total energy is -8.44 eV/atom.

---

Record 6
The following is a DFT calculation (PBE-GGA) of a relaxed PmPu2TaO8 crystal.

The structure belongs to space group Cmmm (No. 65); the cell edges are 7.162, 7.174 and 6.923 Å and the angles 90.00°, 90.00° and 90.00°. The inequivalent atoms are Pm at (0.000, 0.000, 0.000), Pu at (0.000, 0.500, 0.256), Ta at (0.000, 0.000, 0.500), O at (0.000, 0.287, 0.500), O at (0.000, 0.321, 0.000) and O at (0.187, 0.000, 0.284).

Its formation energy from raw total energies is -3.0395 eV/atom. The value obtained for the total energy is -10.12 eV/atom.

---

Record 7
The following is a DFT calculation (PBE-GGA) of a relaxed PmPuTe2O crystal.

The structure belongs to space group P4/nmm (No. 129, origin choice 2); the cell edges are 4.190, 4.190 and 16.009 Å and the angles 90.00°, 90.00° and 90.00°. The inequivalent atoms are Pm at (0.250, 0.250, 0.137), Pu at (0.250, 0.250, 0.566), Te at (0.250, 0.250, 0.324), Te at (0.250, 0.250, 0.918) and O at (0.250, 0.750, 0.500).

Its formation energy from raw total energies is -1.8566 eV/atom. The value obtained for the total energy is -7.92 eV/atom.

---

Record 8
The following is a DFT calculation (PBE-GGA) of a relaxed PmPuTlO6 crystal.

The structure belongs to space group P-31c (No. 163); the cell edges are 5.6631, 5.6631 and 10.1211 Å and the angles 90.00°, 90.00° and 120.00°. The inequivalent atoms are Pm at (0.0000, 0.0000, 0.0000), Pu at (0.3333, 0.6667, 0.2500), Tl at (0.3333, 0.6667, 0.7500) and O at (0.0304, 0.3611, 0.1341).

Its formation energy from raw total energies is -2.1923 eV/atom. The value obtained for the total energy is -7.88 eV/atom.

---

Record 9
The following is a DFT calculation (PBE-GGA) of a relaxed Pm2PuTlO8 crystal.

The structure belongs to space group P-1 (No. 2); the cell edges are 4.187, 5.413 and 7.745 Å and the angles 89.82°, 89.92° and 82.10°. The inequivalent atoms are Pm at (0.001, 0.498, 0.245), Pu at (0.500, 0.000, 0.000), Tl at (0.500, 0.000, 0.500), O at (0.083, 0.224, 0.000), O at (0.109, 0.262, 0.501), O at (0.430, 0.766, 0.204) and O at (0.432, 0.762, 0.794).

Its formation energy from raw total energies is -2.4081 eV/atom. The value obtained for the total energy is -7.90 eV/atom.

---

Record 10
The following is a DFT calculation (PBE-GGA) of a relaxed PmPu3Tl4O12 crystal.

The structure belongs to space group Im-3m (No. 229); the cell edges are 8.702, 8.702 and 8.702 Å and the angles 90.00°, 90.00° and 90.00°. The inequivalent atoms are Pm at (0.000, 0.000, 0.000), Pu at (0.000, 0.000, 0.500), Tl at (0.250, 0.250, 0.250), O at (0.000, 0.000, 0.270) and O at (0.000, 0.250, 0.500).

Its formation energy from raw total energies is -2.1663 eV/atom. The value obtained for the total energy is -8.00 eV/atom.

---

Record 11
The following is a DFT calculation (PBE-GGA) of a relaxed PmTmPuO6 crystal.

The structure belongs to space group P-31c (No. 163); the cell edges are 5.7051, 5.7051 and 9.7552 Å and the angles 90.00°, 90.00° and 120.00°. The inequivalent atoms are Pm at (0.0000, 0.0000, 0.0000), Tm at (0.3333, 0.6667, 0.2500), Pu at (0.3333, 0.6667, 0.7500) and O at (0.0208, 0.3614, 0.6370).

Its formation energy from raw total energies is -3.0727 eV/atom. The value obtained for the total energy is -9.00 eV/atom.

---

Record 12
The following is a DFT calculation (PBE-GGA) of a relaxed PmTm2PuO8 crystal.

The structure belongs to space group Cmmm (No. 65); the cell edges are 7.159, 7.182 and 7.005 Å and the angles 90.00°, 90.00° and 90.00°. The inequivalent atoms are Pm at (0.000, 0.000, 0.000), Tm at (0.000, 0.500, 0.242), Pu at (0.000, 0.000, 0.500), O at (0.000, 0.188, 0.283), O at (0.184, 0.500, 0.000) and O at (0.219, 0.500, 0.500).

Its formation energy from raw total energies is -3.0865 eV/atom. The value obtained for the total energy is -8.73 eV/atom.

---

Record 13
The following is a DFT calculation (PBE-GGA) of a relaxed PmPuUO6 crystal.

The structure belongs to space group P-31c (No. 163); the cell edges are 5.9062, 5.9062 and 9.2943 Å and the angles 90.00°, 90.00° and 120.00°. The inequivalent atoms are Pm at (0.3333, 0.6667, 0.2500), Pu at (0.0000, 0.0000, 0.0000), U at (0.3333, 0.6667, 0.7500) and O at (0.0305, 0.3540, 0.6311).

Its formation energy from raw total energies is -3.1369 eV/atom. The value obtained for the total energy is -9.82 eV/atom.

---

Record 14
The following is a DFT calculation (PBE-GGA) of a relaxed PmY2PuO8 crystal.

The structure belongs to space group P2/m (No. 10); the cell edges are 5.128, 7.068 and 5.130 Å and the angles 90.00°, 90.44° and 90.00°. The inequivalent atoms are Pm at (0.000, 0.000, 0.000), Y at (0.500, 0.243, 0.500), Pu at (0.000, 0.500, 0.000), O at (0.184, 0.284, 0.814), O at (0.279, 0.500, 0.277) and O at (0.314, 0.000, 0.313).

Its formation energy from raw total energies is -3.0459 eV/atom. The value obtained for the total energy is -9.02 eV/atom.

---

Record 15
The following is a DFT calculation (PBE-GGA) of a relaxed PmYPuO6 crystal.

The structure belongs to space group P-31c (No. 163); the cell edges are 5.7703, 5.7703 and 9.6779 Å and the angles 90.00°, 90.00° and 120.00°. The inequivalent atoms are Pm at (0.0000, 0.0000, 0.0000), Y at (0.3333, 0.6667, 0.2500), Pu at (0.3333, 0.6667, 0.7500) and O at (0.0265, 0.3627, 0.6359).

Its formation energy from raw total energies is -3.0368 eV/atom. The value obtained for the total energy is -9.18 eV/atom.

---

Record 16
The following is a DFT calculation (PBE-GGA) of a relaxed Pm2YPuO8 crystal.

The structure belongs to space group P-1 (No. 2); the cell edges are 3.988, 5.528 and 7.541 Å and the angles 88.41°, 89.57° and 83.93°. The inequivalent atoms are Pm at (0.000, 0.012, 0.240), Y at (0.500, 0.500, 0.000), Pu at (0.500, 0.500, 0.500), O at (0.011, 0.748, 0.011), O at (0.071, 0.717, 0.503), O at (0.449, 0.282, 0.714) and O at (0.460, 0.256, 0.269).

Its formation energy from raw total energies is -3.0114 eV/atom. The value obtained for the total energy is -8.84 eV/atom.

---

Record 17
The following is a DFT calculation (PBE-GGA) of a relaxed PmPuZn2O6 crystal.

The structure belongs to space group R-3 (No. 148, hexagonal axes); the cell edges are 5.5645, 5.5645 and 16.0571 Å and the angles 90.00°, 90.00° and 120.00°. The inequivalent atoms are Pm at (0.0000, 0.0000, 0.0000), Pu at (0.0000, 0.0000, 0.5000), Zn at (0.0000, 0.0000, 0.2305) and O at (0.0055, 0.3216, 0.5765).

Its formation energy from raw total energies is -2.3267 eV/atom. The value obtained for the total energy is -7.46 eV/atom.

---

Record 18
The following is a DFT calculation (PBE-GGA) of a relaxed Rb5PmO4 crystal.

The structure belongs to space group C2/m (No. 12); the cell edges are 17.812, 3.827 and 7.739 Å and the angles 90.00°, 104.72° and 90.00°. The inequivalent atoms are Rb at (0.000, 0.000, 0.000), Rb at (0.155, 0.500, 0.825), Rb at (0.162, 0.500, 0.368), Pm at (0.000, 0.000, 0.500), O at (0.001, 0.500, 0.292) and O at (0.140, 0.000, 0.589).

Its formation energy from raw total energies is -1.5225 eV/atom. The value obtained for the total energy is -4.46 eV/atom.

---

Record 19
The following is a DFT calculation (PBE-GGA) of a relaxed RbPmO2 crystal.

The structure belongs to space group P6_3/mmc (No. 194); the cell edges are 3.6323, 3.6323 and 13.2205 Å and the angles 90.00°, 90.00° and 120.00°. The inequivalent atoms are Rb at (0.3333, 0.6667, 0.2500), Pm at (0.0000, 0.0000, 0.0000) and O at (0.3333, 0.6667, 0.5898).

Its formation energy from raw total energies is -2.5884 eV/atom. The value obtained for the total energy is -6.50 eV/atom. The value obtained for the energy above the most stable polymorph in this dataset is 0.001 eV per atom.